# 1
VASP calculation (GGA-PBE) on a relaxed structure of BaGa2SnAu2.

Output
Crystal system: trigonal
Formation enthalpy at 0 K (meV/atom): -432
Spin magnetization (μB/cell): 0.000
Total energy (eV per cell): -21.125

a = 4.641 Å, b = 4.641 Å, c = 7.934 Å
α = 90.00°, β = 90.00°, γ = 120.00°
Sites, in units of the cell vectors:
Ba: 0.000 0.000 0.000
Ga: 0.667 0.333 0.279
Ga: 0.333 0.667 0.721
Sn: 0.000 0.000 0.500
Au: 0.667 0.333 0.685
Au: 0.333 0.667 0.315

# 2
VASP calculation (GGA-PBE) on a relaxed structure of In2SnGeH.

Output
Crystal system: tetragonal
Spin magnetization (μB/cell): 0.000
Total energy (eV per cell): -16.477

a = 5.578 Å, b = 5.578 Å, c = 3.535 Å
α = 90.00°, β = 90.00°, γ = 90.00°
Sites, in units of the cell vectors:
H: 0.000 0.000 0.500
Ge: 0.000 0.000 0.000
Sn: 0.500 0.500 0.500
In: 0.000 0.500 0.000
In: 0.500 0.000 0.000

# 3
VASP calculation (GGA-PBE) on a relaxed structure of Nd3GaB2Pt9.

Output
Crystal system: trigonal
Formation enthalpy at 0 K (meV/atom): -828
Spin magnetization (μB/cell): 0.000
Total energy (eV per cell): -97.476

a = 5.817 Å, b = 5.817 Å, c = 9.268 Å
α = 90.00°, β = 90.00°, γ = 120.00°
Sites, in units of the cell vectors:
Nd: 0.333 0.667 0.610
Nd: 0.000 0.000 0.000
Nd: 0.667 0.333 0.390
Ga: 0.000 0.000 0.500
B: 0.333 0.667 0.149
B: 0.667 0.333 0.851
Pt: 0.835 0.165 0.712
Pt: 0.835 0.669 0.712
Pt: 0.331 0.165 0.712
Pt: 0.669 0.835 0.288
Pt: 0.165 0.331 0.288
Pt: 0.165 0.835 0.288
Pt: 0.500 0.000 0.000
Pt: 0.000 0.500 0.000
Pt: 0.500 0.500 0.000

# 4
VASP calculation (GGA-PBE) on a relaxed structure of LaHoSc2Cd4.

Output
Crystal system: trigonal
Formation enthalpy at 0 K (meV/atom): -276
Spin magnetization (μB/cell): 0.668
Total energy (eV per cell): -28.036

a = 5.218 Å, b = 5.218 Å, c = 9.098 Å
α = 73.34°, β = 73.34°, γ = 60.00°
Sites, in units of the cell vectors:
La: 0.000 0.000 0.000
Ho: 0.500 0.500 0.500
Sc: 0.751 0.751 0.746
Sc: 0.249 0.249 0.254
Cd: 0.379 0.379 0.863
Cd: 0.872 0.872 0.383
Cd: 0.128 0.128 0.617
Cd: 0.621 0.621 0.137

# 5
VASP calculation (GGA-PBE) on a relaxed structure of CaAg2Ir.

Output
Crystal system: trigonal
Formation enthalpy at 0 K (meV/atom): 503
Spin magnetization (μB/cell): 0.782
E above lowest polymorph (eV/atom): 0.492
Total energy (eV per cell): -14.554

a = 9.939 Å, b = 9.939 Å, c = 9.939 Å
α = 17.26°, β = 17.26°, γ = 17.26°
Sites, in units of the cell vectors:
Ca: 0.250 0.250 0.250
Ir: 0.750 0.750 0.750
Ag: 0.005 0.005 0.005
Ag: 0.495 0.495 0.495

# 6
VASP calculation (GGA-PBE) on a relaxed structure of LiCu2P.

Output
Crystal system: tetragonal
Formation enthalpy at 0 K (meV/atom): 123
Spin magnetization (μB/cell): 0.000
Total energy (eV per cell): -15.023

a = 2.600 Å, b = 2.600 Å, c = 7.775 Å
α = 90.00°, β = 90.00°, γ = 90.00°
Sites, in units of the cell vectors:
Cu: 0.000 0.000 0.994
Cu: 0.000 0.000 0.506
Li: 0.500 0.500 0.250
P: 0.500 0.500 0.750

# 7
VASP calculation (GGA-PBE) on a relaxed structure of GaCoB.

Output
Crystal system: orthorhombic
Formation enthalpy at 0 K (meV/atom): -98
Spin magnetization (μB/cell): 0.000
Total energy (eV per cell): -34.207

a = 2.754 Å, b = 2.931 Å, c = 8.531 Å
α = 90.00°, β = 99.29°, γ = 90.00°
Sites, in units of the cell vectors:
B: 0.470 0.750 0.941
B: 0.530 0.250 0.059
Ga: 0.814 0.750 0.627
Ga: 0.186 0.250 0.373
Co: 0.934 0.250 0.869
Co: 0.066 0.750 0.131

# 8
VASP calculation (GGA-PBE) on a relaxed structure of Nd4Sn2F.

Output
Crystal system: tetragonal
Spin magnetization (μB/cell): 2.001
Total energy (eV per cell): -36.877

a = 4.773 Å, b = 4.773 Å, c = 9.509 Å
α = 75.46°, β = 75.46°, γ = 90.00°
Sites, in units of the cell vectors:
Nd: 0.816 0.816 0.367
Nd: 0.184 0.184 0.633
Nd: 0.000 0.500 0.000
Nd: 0.500 0.000 0.000
Sn: 0.634 0.634 0.732
Sn: 0.366 0.366 0.268
F: 0.000 0.000 0.000

# 9
VASP calculation (GGA-PBE) on a relaxed structure of Pr4Nd5Th.

Output
Crystal system: monoclinic
Formation enthalpy at 0 K (meV/atom): 29
Spin magnetization (μB/cell): 0.000
E above lowest polymorph (eV/atom): 0.004
Total energy (eV per cell): -50.092

a = 3.678 Å, b = 10.459 Å, c = 9.745 Å
α = 105.45°, β = 100.88°, γ = 90.00°
Sites, in units of the cell vectors:
Pr: 0.302 0.900 0.604
Pr: 0.902 0.706 0.804
Pr: 0.698 0.100 0.396
Pr: 0.098 0.294 0.196
Nd: 0.699 0.598 0.398
Nd: 0.902 0.195 0.804
Nd: 0.098 0.805 0.196
Nd: 0.500 0.500 0.000
Nd: 0.301 0.402 0.602
Th: 0.500 0.000 0.000

# 10
VASP calculation (GGA-PBE) on a relaxed structure of Ag2Pt.

Output
Crystal system: tetragonal
Formation enthalpy at 0 K (meV/atom): 28
Spin magnetization (μB/cell): 0.000
E above lowest polymorph (eV/atom): 0.043
Total energy (eV per cell): -11.658

a = 6.636 Å, b = 6.636 Å, c = 6.636 Å
α = 155.31°, β = 155.31°, γ = 35.20°
Sites, in units of the cell vectors:
Ag: 0.998 0.998 0.000
Ag: 0.669 0.669 0.000
Pt: 0.333 0.333 0.000

# 11
VASP calculation (GGA-PBE) on a relaxed structure of UCoNiOs.

Output
Crystal system: orthorhombic
Formation enthalpy at 0 K (meV/atom): -224
Spin magnetization (μB/cell): 0.513
Total energy (eV per cell): -36.302

a = 3.912 Å, b = 3.788 Å, c = 3.944 Å
α = 90.00°, β = 90.00°, γ = 90.00°
Sites, in units of the cell vectors:
U: 0.500 0.000 0.500
Co: 0.000 0.500 0.500
Ni: 0.000 0.000 0.000
Os: 0.500 0.500 0.000

# 12
VASP calculation (GGA-PBE) on a relaxed structure of MnFeTe3.

Output
Crystal system: cubic
Spin magnetization (μB/cell): 0.005
E above lowest polymorph (eV/atom): 0.591
Total energy (eV per cell): -21.138

a = 4.934 Å, b = 4.934 Å, c = 4.934 Å
α = 90.00°, β = 90.00°, γ = 90.00°
Sites, in units of the cell vectors:
Te: 0.000 0.500 0.000
Te: 0.000 0.000 0.500
Te: 0.500 0.000 0.000
Fe: 0.500 0.500 0.500
Mn: 0.000 0.000 0.000

# 13
VASP calculation (GGA-PBE) on a relaxed structure of Pr6YHo2Sc.

Output
Crystal system: monoclinic
Formation enthalpy at 0 K (meV/atom): 232
Spin magnetization (μB/cell): 0.002
Total energy (eV per cell): -48.309

a = 8.794 Å, b = 7.024 Å, c = 6.745 Å
α = 121.38°, β = 100.51°, γ = 90.00°
Sites, in units of the cell vectors:
Pr: 0.400 0.625 0.249
Pr: 0.202 0.084 0.679
Pr: 0.798 0.405 0.321
Pr: 0.202 0.595 0.679
Pr: 0.798 0.916 0.321
Pr: 0.600 0.375 0.751
Y: 0.500 0.000 0.000
Ho: 0.161 0.094 0.187
Ho: 0.839 0.906 0.813
Sc: 0.000 0.500 0.000

# 14
VASP calculation (GGA-PBE) on a relaxed structure of TaNi3Rh.

Output
Crystal system: orthorhombic
Formation enthalpy at 0 K (meV/atom): -209
Spin magnetization (μB/cell): 0.000
E above lowest polymorph (eV/atom): 0.000
Total energy (eV per cell): -75.184

a = 4.324 Å, b = 5.181 Å, c = 6.214 Å
α = 90.00°, β = 69.61°, γ = 90.00°
Sites, in units of the cell vectors:
Ta: 0.611 0.750 0.278
Ta: 0.389 0.250 0.722
Ni: 0.187 0.005 0.126
Ni: 0.813 0.995 0.874
Ni: 0.187 0.495 0.126
Ni: 0.813 0.505 0.874
Ni: 0.997 0.750 0.507
Ni: 0.003 0.250 0.493
Rh: 0.379 0.750 0.742
Rh: 0.621 0.250 0.258

# 15
VASP calculation (GGA-PBE) on a relaxed structure of Sr2Li3Cd12Sn.

Output
Crystal system: trigonal
Formation enthalpy at 0 K (meV/atom): -88
Spin magnetization (μB/cell): 0.000
Total energy (eV per cell): -25.681

a = 11.645 Å, b = 11.645 Å, c = 11.645 Å
α = 35.70°, β = 35.70°, γ = 35.70°
Sites, in units of the cell vectors:
Sr: 0.639 0.639 0.639
Sr: 0.361 0.361 0.361
Li: 0.500 0.000 0.000
Li: 0.000 0.500 0.000
Li: 0.000 0.000 0.500
Cd: 0.409 0.409 0.814
Cd: 0.884 0.884 0.424
Cd: 0.424 0.884 0.884
Cd: 0.814 0.409 0.409
Cd: 0.884 0.424 0.884
Cd: 0.409 0.814 0.409
Cd: 0.591 0.591 0.186
Cd: 0.116 0.116 0.576
Cd: 0.576 0.116 0.116
Cd: 0.186 0.591 0.591
Cd: 0.116 0.576 0.116
Cd: 0.591 0.186 0.591
Sn: 0.000 0.000 0.000

# 16
VASP calculation (GGA-PBE) on a relaxed structure of AlFeAgBr2.

Output
Crystal system: tetragonal
Spin magnetization (μB/cell): 3.050
E above lowest polymorph (eV/atom): 0.000
Total energy (eV per cell): -15.424

a = 5.285 Å, b = 4.873 Å, c = 5.285 Å
α = 90.00°, β = 90.00°, γ = 90.00°
Sites, in units of the cell vectors:
Al: 0.000 0.000 0.000
Br: 0.000 0.000 0.500
Br: 0.500 0.000 0.000
Ag: 0.500 0.500 0.500
Fe: 0.000 0.500 0.000

# 17
VASP calculation (GGA-PBE) on a relaxed structure of SbTe2Cl.

Output
Crystal system: tetragonal
Spin magnetization (μB/cell): 0.000
E above lowest polymorph (eV/atom): 0.281
Total energy (eV per cell): -12.159

a = 4.012 Å, b = 4.012 Å, c = 7.190 Å
α = 90.00°, β = 90.00°, γ = 90.00°
Sites, in units of the cell vectors:
Cl: 0.500 0.500 0.250
Sb: 0.500 0.500 0.750
Te: 0.000 0.000 0.956
Te: 0.000 0.000 0.544

# 18
VASP calculation (GGA-PBE) on a relaxed structure of LaCu2AsN.

Output
Crystal system: orthorhombic
Spin magnetization (μB/cell): 0.000
E above lowest polymorph (eV/atom): 0.000
Total energy (eV per cell): -58.241

a = 3.768 Å, b = 6.220 Å, c = 7.092 Å
α = 90.00°, β = 90.00°, γ = 107.63°
Sites, in units of the cell vectors:
La: 0.461 0.922 0.750
La: 0.539 0.078 0.250
Cu: 0.163 0.327 0.940
Cu: 0.837 0.673 0.060
Cu: 0.163 0.327 0.560
Cu: 0.837 0.673 0.440
As: 0.736 0.471 0.750
As: 0.264 0.529 0.250
N: 0.000 0.000 0.000
N: 0.000 0.000 0.500

# 19
VASP calculation (GGA-PBE) on a relaxed structure of MgScHIr2.

Output
Crystal system: tetragonal
Spin magnetization (μB/cell): 0.000
E above lowest polymorph (eV/atom): 0.000
Total energy (eV per cell): -31.413

a = 4.145 Å, b = 4.145 Å, c = 3.891 Å
α = 90.00°, β = 90.00°, γ = 90.00°
Sites, in units of the cell vectors:
Sc: 0.000 0.000 0.500
H: 0.000 0.000 0.000
Mg: 0.500 0.500 0.500
Ir: 0.000 0.500 0.000
Ir: 0.500 0.000 0.000

# 20
VASP calculation (GGA-PBE) on a relaxed structure of MnAlCl3.

Output
Crystal system: cubic
Spin magnetization (μB/cell): 5.000
Total energy (eV per cell): -21.840

a = 5.011 Å, b = 5.011 Å, c = 5.011 Å
α = 90.00°, β = 90.00°, γ = 90.00°
Sites, in units of the cell vectors:
Mn: 0.000 0.000 0.000
Al: 0.500 0.500 0.500
Cl: 0.000 0.500 0.000
Cl: 0.000 0.000 0.500
Cl: 0.500 0.000 0.000